Material: Pr3Sb5O12
Method: DFT, PBE
State: relaxed

Properties
- Formation energy from raw total energies: -2174 meV per atom

abc: 11.204 11.204 11.204
angles: 90.00 90.00 90.00
Space group I-43m (No. 217)
Symmetry-distinct sites (fractional):
Pr 0.000 0.250 0.500 [12 per cell]
Sb 0.000 0.000 0.281 [12 per cell]
Sb 0.248 0.248 0.248 [8 per cell]
O 0.099 0.099 0.390 [24 per cell]
O 0.137 0.137 0.666 [24 per cell]


Material: Y2ErCd
Method: DFT, PBE
State: relaxed

Properties
- Formation energy from the elements: -0.03 eV per atom

abc: 7.699 7.699 7.699
angles: 90.00 90.00 90.00
Space group Fm-3m (No. 225)
Symmetry-distinct sites (fractional):
Y 0.250 0.250 0.250 [8 per cell]
Er 0.000 0.000 0.000 [4 per cell]
Cd 0.000 0.000 0.500 [4 per cell]


Material: BeCdIn3
Method: DFT, PBE
State: relaxed

Properties
- Formation energy from the elements: 0.27 eV per atom

abc: 4.993 4.993 4.993
angles: 90.00 90.00 90.00
Space group Pm-3m (No. 221)
Symmetry-distinct sites (fractional):
Be 0.000 0.000 0.000 [1 per cell]
Cd 0.500 0.500 0.500 [1 per cell]
In 0.000 0.000 0.500 [3 per cell]


Material: TaReSi4
Method: DFT, PBE
State: relaxed

Properties
- Formation energy from raw total energies: 379 meV per atom

abc: 6.869 6.869 6.869
angles: 90.00 90.00 90.00
Space group F-43m (No. 216)
Symmetry-distinct sites (fractional):
Ta 0.000 0.000 0.000 [4 per cell]
Re 0.250 0.250 0.750 [4 per cell]
Si 0.125 0.125 0.375 [16 per cell]